The following is a GGA-PBE calculation of crystalline Tb7Cd2Au2 at its relaxed geometry, from Alexandria.

E_form in eV per atom: -0.23
Calculated volume in Å³ per cell: 331.1
Electronic total energy in eV for the cell shown: -43.3
Calculated density in kg/m³: 8683

```
Tb7Cd2Au2
1.0
-0.460 -1.561 6.689
-6.807 -2.567 -1.068
2.577 -5.461 -3.306
Tb Au Cd
7 2 2
Cartesian
0.000 0.000 0.000 Tb
-2.644 -8.123 -0.742 Tb
-3.703 -4.611 -2.433 Tb
-2.045 -1.466 3.057 Tb
-0.684 -4.169 1.416 Tb
-0.986 -4.978 4.749 Tb
-4.005 -5.420 0.899 Tb
-6.373 -5.275 2.682 Au
1.684 -4.314 -0.367 Au
-3.038 -2.495 0.050 Cd
-1.651 -7.094 2.265 Cd
```

***

The following is a GGA-PBE calculation of crystalline Tb3CdAu at its relaxed geometry, from Alexandria.

Energy above the lowest structure with this stoichiometry in meV/atom: 0.0
E_form in eV per atom: -0.43
Calculated volume in Å³ per cell: 265.5
Electronic total energy in eV for the cell shown: -40.4
Calculated density in kg/m³: 9834

```
Tb3CdAu
1.0
5.071 0.000 1.159
0.000 5.188 0.000
0.343 0.000 10.171
Cd Au Tb
2 2 6
Cartesian
5.196 1.297 8.181 Cd
3.506 3.891 3.900 Cd
0.931 1.297 3.493 Au
2.700 3.891 7.429 Au
3.911 1.297 2.128 Tb
1.357 3.891 1.631 Tb
3.089 1.297 5.728 Tb
2.274 1.297 9.290 Tb
4.791 3.891 9.953 Tb
0.543 3.891 5.194 Tb
```

***

The following is a GGA-PBE calculation of crystalline TbCd11Au at its relaxed geometry, from Alexandria.

E_form in eV per atom: -0.11
Calculated volume in Å³ per cell: 290.7
Electronic total energy in eV for the cell shown: -19.5
Calculated density in kg/m³: 9096

```
TbCd11Au
1.0
-2.772 3.909 -3.413
-6.358 -2.794 -3.115
-5.088 4.182 3.852
Cd Tb Au
11 1 1
Cartesian
-8.312 5.620 -1.964 Cd
-3.237 1.429 -0.853 Cd
-3.179 -1.397 -1.558 Cd
-3.930 4.046 0.220 Cd
-6.768 4.674 0.661 Cd
-2.544 2.091 1.926 Cd
-7.450 0.624 -3.337 Cd
-5.793 2.983 -1.960 Cd
-5.906 -0.322 -0.711 Cd
-10.982 3.869 -1.823 Cd
-8.426 2.315 -0.716 Cd
0.000 0.000 0.000 Tb
-4.565 0.558 -3.264 Au
```

***

The following is a GGA-PBE calculation of crystalline Tb2CdAu at its relaxed geometry, from Alexandria.

Energy above the lowest structure with this stoichiometry in meV/atom: 30.1
E_form in eV per atom: -0.56
Calculated volume in Å³ per cell: 99.7
Electronic total energy in eV for the cell shown: -15.7
Calculated density in kg/m³: 10443

```
Tb2CdAu
1.0
5.205 0.000 0.000
2.603 4.508 0.000
2.603 1.503 4.250
Tb Cd Au
2 1 1
Cartesian
2.603 1.503 1.063 Tb
7.808 4.508 3.188 Tb
5.205 3.005 2.125 Cd
0.000 0.000 0.000 Au
```

***

The following is a GGA-PBE calculation of crystalline Tb6Cd2Au at its relaxed geometry, from Alexandria.

E_form in eV per atom: -0.20
Calculated volume in Å³ per cell: 521.9
Electronic total energy in eV for the cell shown: -69.4
Calculated density in kg/m³: 8751

```
Tb6Cd2Au
1.0
-5.934 0.380 1.877
0.462 -8.645 3.213
1.579 3.213 8.417
Tb Cd Au
12 4 2
Cartesian
-0.304 -2.554 1.662 Tb
0.296 -1.275 5.105 Tb
-2.546 0.452 6.359 Tb
-1.943 -6.839 3.726 Tb
-3.589 -2.497 11.846 Tb
-2.931 -2.849 5.156 Tb
-4.189 -3.776 8.403 Tb
-1.347 -5.503 7.148 Tb
-1.950 1.788 9.781 Tb
-0.962 -2.202 8.352 Tb
-4.518 -7.374 6.478 Tb
0.625 2.323 7.030 Tb
-2.097 -5.094 10.232 Cd
-3.843 -0.593 9.326 Cd
-1.796 0.043 3.275 Cd
-0.050 -4.459 4.181 Cd
0.790 1.606 4.208 Au
-2.736 -4.132 2.545 Au
```

***

The following is a GGA-PBE calculation of crystalline Tb2CdAu at its relaxed geometry, from Alexandria.

Energy above the lowest structure with this stoichiometry in meV/atom: 0.0
E_form in eV per atom: -0.59
Calculated volume in Å³ per cell: 99.9
Electronic total energy in eV for the cell shown: -15.8
Calculated density in kg/m³: 10424

```
Tb2CdAu
1.0
3.688 0.000 0.000
0.000 3.688 0.000
0.000 0.000 7.348
Tb Au Cd
2 1 1
Cartesian
0.000 0.000 5.610 Tb
0.000 0.000 1.738 Tb
1.844 1.844 0.000 Au
1.844 1.844 3.674 Cd
```

***

The following is a GGA-PBE calculation of crystalline Tb3Cd3Au2 at its relaxed geometry, from Alexandria.

E_form in eV per atom: -0.59
Calculated volume in Å³ per cell: 197.2
Electronic total energy in eV for the cell shown: -27.9
Calculated density in kg/m³: 10173

```
Tb3Cd3Au2
1.0
3.796 0.000 0.000
0.000 6.707 -3.872
0.000 0.000 7.745
Cd Tb Au
3 3 2
Cartesian
0.000 0.000 1.741 Cd
0.000 5.200 3.002 Cd
0.000 1.507 -0.870 Cd
1.898 2.802 1.618 Tb
1.898 0.000 4.510 Tb
1.898 3.906 -2.255 Tb
0.000 2.236 3.872 Au
0.000 4.472 0.000 Au
```

***

The following is a GGA-PBE calculation of crystalline TbCd2Au8 at its relaxed geometry, from Alexandria.

E_form in eV per atom: -0.33
Calculated volume in Å³ per cell: 212.5
Electronic total energy in eV for the cell shown: -36.3
Calculated density in kg/m³: 15311

```
TbCd2Au8
1.0
-4.140 0.560 1.020
0.762 -4.074 5.332
3.637 6.721 2.004
Au Cd Tb
8 2 1
Cartesian
1.063 4.091 2.069 Au
-1.421 -0.250 3.439 Au
0.576 1.156 1.706 Au
-0.318 2.052 6.650 Au
-0.427 5.553 4.283 Au
-0.805 -0.883 6.287 Au
1.679 3.458 4.917 Au
0.686 -2.346 4.073 Au
-0.940 2.697 3.770 Cd
1.198 0.511 4.586 Cd
-2.070 0.280 0.510 Tb
```

***

- Which of these has the lowest calculated volume?
  number 4